# RuW2F | Alexandria via LeMat-Bulk | PBE+U | optimized geometry
# DFT total energy in eV per atom: -5.72
# D(E_F) in states/eV per atom: 0.752
# SG: Fm-3m
data_RuW2F
_chemical_formula_sum 'Ru4 W8 F4'
_space_group_name_H-M_alt 'P 1'
_space_group_IT_number 1
_space_group_name_Hall 'P 1'
_cell_length_a 6.203
_cell_length_b 6.203
_cell_length_c 6.203
_cell_angle_alpha 90.00
_cell_angle_beta 90.00
_cell_angle_gamma 90.00
loop_
_atom_site_label
_atom_site_type_symbol
_atom_site_fract_x
_atom_site_fract_y
_atom_site_fract_z
Ru1 Ru 0.000 0.000 0.000
Ru2 Ru 0.000 0.500 0.500
Ru3 Ru 0.500 0.000 0.500
Ru4 Ru 0.500 0.500 0.000
W1 W 0.250 0.250 0.250
W2 W 0.250 0.250 0.750
W3 W 0.250 0.750 0.250
W4 W 0.250 0.750 0.750
W5 W 0.750 0.250 0.250
W6 W 0.750 0.250 0.750
W7 W 0.750 0.750 0.250
W8 W 0.750 0.750 0.750
F1 F 0.000 0.000 0.500
F2 F 0.000 0.500 0.000
F3 F 0.500 0.000 0.000
F4 F 0.500 0.500 0.500